Entry from Alexandria via LeMat-Bulk: Tb2Pr6Er3 after structural relaxation (PBE).

POSCAR file:
```
Tb2Pr6Er3
1.0
4.7672 0.0000 0.0000
0.0000 4.7672 0.0000
-2.3836 -2.3836 17.1665
Pr Tb Er
6 2 3
direct
0.1198 0.6198 0.2396 Pr
0.2926 0.2926 0.5852 Pr
0.7074 0.7074 0.4148 Pr
0.3802 0.8802 0.7604 Pr
0.8802 0.3802 0.7604 Pr
0.6198 0.1198 0.2396 Pr
0.4554 0.4554 0.9108 Tb
0.5446 0.5446 0.0892 Tb
0.8072 0.8072 0.6144 Er
0.0000 0.0000 0.0000 Er
0.1928 0.1928 0.3856 Er
```

Computed properties:
- M_tot: 0.00 μB/cell
- Crystal system: tetragonal
- E_tot: -4.392 eV/atom
- DOS(E_F): 16.3 states/eV per cell
- Offset from the most stable computed form: 282.7 meV per atom

***

Entry from Alexandria via LeMat-Bulk: Tb7Pr4Er after structural relaxation (PBE).

POSCAR file:
```
Tb7Pr4Er
1.0
-4.7897 1.3456 -3.3155
2.1108 -4.9914 -10.4658
-5.1300 -4.4074 0.2318
Tb Pr Er
7 4 1
direct
0.0705 0.6917 0.1673 Tb
0.3679 0.4944 0.7699 Tb
0.7882 0.9236 0.5000 Tb
0.2118 0.0764 0.5000 Tb
0.5000 0.0000 0.0000 Tb
0.9295 0.3083 0.8327 Tb
0.6321 0.5056 0.2301 Tb
0.2181 0.3364 0.2275 Pr
0.7819 0.6636 0.7725 Pr
0.6411 0.2223 0.4955 Pr
0.3589 0.7777 0.5045 Pr
0.0000 0.0000 0.0000 Er
```

Computed properties:
- M_tot: 0.00 μB/cell
- Crystal system: monoclinic
- E_tot: -4.412 eV/atom
- DOS(E_F): 20.0 states/eV per cell
- Offset from the most stable computed form: 174.6 meV per atom

***

Entry from Alexandria via LeMat-Bulk: Tb4Pr15Er after structural relaxation (PBE).

POSCAR file:
```
Tb4Pr15Er
1.0
5.2031 0.0000 0.0000
0.0000 5.2031 0.0000
0.0000 0.0000 25.8806
Pr Tb Er
15 4 1
direct
0.5000 0.5000 0.3999 Pr
0.5000 0.5000 0.8004 Pr
0.5000 0.0000 0.7002 Pr
0.5000 0.0000 0.5000 Pr
0.0000 0.5000 0.2998 Pr
0.5000 0.0000 0.2998 Pr
0.0000 0.5000 0.5000 Pr
0.5000 0.5000 0.0000 Pr
0.0000 0.5000 0.0995 Pr
0.5000 0.0000 0.0995 Pr
0.0000 0.5000 0.7002 Pr
0.5000 0.5000 0.6001 Pr
0.0000 0.5000 0.9005 Pr
0.5000 0.5000 0.1996 Pr
0.5000 0.0000 0.9005 Pr
0.0000 0.0000 0.8004 Tb
0.0000 0.0000 0.3999 Tb
0.0000 0.0000 0.6001 Tb
0.0000 0.0000 0.1996 Tb
0.0000 0.0000 0.0000 Er
```

Computed properties:
- M_tot: 0.00 μB/cell
- Crystal system: tetragonal
- E_tot: -4.728 eV/atom
- DOS(E_F): 27.8 states/eV per cell

***

Entry from Alexandria via LeMat-Bulk: Tb4PrEr7 after structural relaxation (PBE).

POSCAR file:
```
Tb4PrEr7
1.0
-6.9259 -1.4552 -1.0031
-6.8362 -5.2090 3.9142
-2.0778 5.2995 6.7056
Er Tb Pr
7 4 1
direct
0.7778 0.2218 0.3343 Er
0.9724 0.2787 0.6655 Er
0.2501 0.5000 0.0003 Er
0.5000 0.0000 0.0000 Er
0.0276 0.7213 0.3345 Er
0.7499 0.5000 0.9997 Er
0.2222 0.7782 0.6657 Er
0.7220 0.7785 0.6662 Tb
0.5296 0.7205 0.3355 Tb
0.4704 0.2795 0.6645 Tb
0.2780 0.2215 0.3338 Tb
0.0000 0.0000 0.0000 Pr
```

Computed properties:
- M_tot: 0.00 μB/cell
- Crystal system: triclinic
- E_tot: -4.602 eV/atom
- DOS(E_F): 16.6 states/eV per cell
- Offset from the most stable computed form: 0.0 meV per atom

***

Entry from Alexandria via LeMat-Bulk: Tb4Pr4Er after structural relaxation (PBE).

POSCAR file:
```
Tb4Pr4Er
1.0
6.1759 -0.7839 0.5593
2.6838 4.3772 0.0961
-0.2575 -3.0714 10.4630
Pr Tb Er
4 4 1
direct
0.9441 0.2224 0.8893 Pr
0.0559 0.7776 0.1107 Pr
0.1692 0.3317 0.3325 Pr
0.8308 0.6683 0.6675 Pr
0.3882 0.4441 0.7765 Tb
0.6118 0.5559 0.2235 Tb
0.7215 0.1123 0.4460 Tb
0.2785 0.8877 0.5540 Tb
0.5000 0.0000 0.0000 Er
```

Computed properties:
- M_tot: 0.00 μB/cell
- Crystal system: triclinic
- E_tot: -4.672 eV/atom
- DOS(E_F): 12.4 states/eV per cell

***

Entry from Alexandria via LeMat-Bulk: Tb3PrEr7 after structural relaxation (PBE).

POSCAR file:
```
Tb3PrEr7
1.0
-4.5540 3.4493 -0.8395
1.7387 -0.5597 8.1828
7.0926 4.4660 -0.2112
Er Tb Pr
7 3 1
direct
0.2899 0.5971 0.9829 Er
0.0000 0.5000 0.5000 Er
0.2899 0.9829 0.5971 Er
0.7101 0.4029 0.0171 Er
0.7101 0.0171 0.4029 Er
0.2054 0.2049 0.2049 Er
0.7946 0.7951 0.7951 Er
0.0000 0.7925 0.2075 Tb
0.0000 0.2075 0.7925 Tb
0.5000 0.0000 0.0000 Tb
0.5000 0.5000 0.5000 Pr
```

Computed properties:
- M_tot: 0.00 μB/cell
- Crystal system: monoclinic
- E_tot: -4.339 eV/atom
- DOS(E_F): 16.3 states/eV per cell
- Offset from the most stable computed form: 109.4 meV per atom

***

Entry from Alexandria via LeMat-Bulk: Tb3Pr3Er4 after structural relaxation (PBE).

POSCAR file:
```
Tb3Pr3Er4
1.0
3.6836 0.0000 0.0000
0.0000 9.5051 -0.0629
0.0000 0.0207 9.5053
Er Pr Tb
4 3 3
direct
0.0000 0.8796 0.8741 Er
0.0000 0.6239 0.3761 Er
0.0000 0.1259 0.1204 Er
0.0000 0.3743 0.6257 Er
0.5000 0.3246 0.3258 Pr
0.5000 0.6742 0.6754 Pr
0.5000 0.8263 0.1737 Pr
0.0000 0.0019 0.5052 Tb
0.5000 0.1746 0.8254 Tb
0.0000 0.4948 0.9981 Tb
```

Computed properties:
- M_tot: 0.00 μB/cell
- Crystal system: orthorhombic
- E_tot: -4.551 eV/atom
- DOS(E_F): 8.2 states/eV per cell

***

Entry from Alexandria via LeMat-Bulk: TbPr3Er5 after structural relaxation (PBE).

POSCAR file:
```
TbPr3Er5
1.0
9.3864 0.0441 1.7686
2.6120 9.0157 1.7686
5.4968 4.1506 9.4651
Er Pr Tb
10 6 2
direct
0.2589 0.7411 0.0000 Er
0.7411 0.2589 0.0000 Er
0.8119 0.8119 0.9670 Er
0.4906 0.4906 0.2237 Er
0.5094 0.5094 0.7763 Er
0.1881 0.1881 0.0330 Er
0.1566 0.6546 0.7556 Er
0.3454 0.8434 0.2444 Er
0.6546 0.1566 0.7556 Er
0.8434 0.3454 0.2444 Er
0.6609 0.6609 0.3663 Pr
0.2973 0.2973 0.1934 Pr
0.0000 0.0000 0.5000 Pr
0.0000 0.0000 0.0000 Pr
0.3391 0.3391 0.6337 Pr
0.7027 0.7027 0.8066 Pr
0.1504 0.1504 0.6026 Tb
0.8496 0.8496 0.3974 Tb
```

Computed properties:
- M_tot: 0.00 μB/cell
- Crystal system: monoclinic
- E_tot: -4.115 eV/atom
- DOS(E_F): 24.5 states/eV per cell

***

Entry from Alexandria via LeMat-Bulk: TbPr9Er2 after structural relaxation (PBE).

POSCAR file:
```
TbPr9Er2
1.0
5.1824 0.0000 0.0000
0.0000 5.1824 0.0000
0.0000 0.0000 15.5476
Pr Tb Er
9 1 2
direct
0.5000 0.0000 0.5000 Pr
0.5000 0.5000 0.6662 Pr
0.0000 0.5000 0.1673 Pr
0.0000 0.5000 0.8327 Pr
0.5000 0.0000 0.8327 Pr
0.0000 0.5000 0.5000 Pr
0.5000 0.0000 0.1673 Pr
0.5000 0.5000 0.0000 Pr
0.5000 0.5000 0.3338 Pr
0.0000 0.0000 0.0000 Tb
0.0000 0.0000 0.6663 Er
0.0000 0.0000 0.3337 Er
```

Computed properties:
- M_tot: 0.00 μB/cell
- Crystal system: tetragonal
- E_tot: -4.717 eV/atom
- DOS(E_F): 19.7 states/eV per cell

***

Entry from Alexandria via LeMat-Bulk: Tb5PrEr6 after structural relaxation (PBE).

POSCAR file:
```
Tb5PrEr6
1.0
11.6322 -1.4193 0.0000
1.7944 5.8778 0.0000
0.8972 2.9389 5.3176
Er Pr Tb
6 1 5
direct
0.7485 0.0842 0.3340 Er
0.2515 0.9158 0.6660 Er
0.2515 0.5818 0.3340 Er
0.7487 0.7501 0.0000 Er
0.7485 0.4182 0.6660 Er
0.2513 0.2499 0.0000 Er
0.0000 0.0000 0.0000 Pr
0.0000 0.3333 0.3333 Tb
0.5000 0.5000 0.0000 Tb
0.5000 0.8332 0.3336 Tb
0.5000 0.1668 0.6664 Tb
0.0000 0.6667 0.6667 Tb
```

Computed properties:
- M_tot: 0.00 μB/cell
- Crystal system: monoclinic
- E_tot: -4.591 eV/atom
- DOS(E_F): 15.2 states/eV per cell
- Offset from the most stable computed form: 0.0 meV per atom

***

Entry from Alexandria via LeMat-Bulk: TbPr3Er12 after structural relaxation (PBE).

POSCAR file:
```
TbPr3Er12
1.0
5.0183 0.0000 0.0000
0.0000 5.0183 0.0000
0.0000 0.0000 20.0837
Er Pr Tb
12 3 1
direct
0.5000 0.5000 0.7514 Er
0.0000 0.5000 0.6256 Er
0.5000 0.0000 0.1231 Er
0.5000 0.5000 0.0000 Er
0.0000 0.5000 0.1231 Er
0.5000 0.0000 0.6256 Er
0.5000 0.0000 0.8769 Er
0.5000 0.5000 0.5000 Er
0.0000 0.5000 0.8769 Er
0.5000 0.5000 0.2486 Er
0.0000 0.5000 0.3744 Er
0.5000 0.0000 0.3744 Er
0.0000 0.0000 0.2493 Pr
0.0000 0.0000 0.5000 Pr
0.0000 0.0000 0.7507 Pr
0.0000 0.0000 0.0000 Tb
```

Computed properties:
- M_tot: 0.00 μB/cell
- Crystal system: tetragonal
- E_tot: -4.582 eV/atom
- DOS(E_F): 22.6 states/eV per cell

***

Entry from Alexandria via LeMat-Bulk: Tb2PrEr3 after structural relaxation (PBE).

POSCAR file:
```
Tb2PrEr3
1.0
6.5831 0.4998 -0.5111
-1.1038 6.5091 -0.5111
-0.5568 -0.7122 8.8996
Tb Er Pr
4 6 2
direct
0.8708 0.3761 0.1255 Tb
0.1292 0.6239 0.8745 Tb
0.3761 0.8708 0.6255 Tb
0.6239 0.1292 0.3745 Tb
0.5759 0.4241 0.7500 Er
0.6697 0.8369 0.0042 Er
0.4241 0.5759 0.2500 Er
0.1631 0.3303 0.4958 Er
0.3303 0.1631 0.9958 Er
0.8369 0.6697 0.5042 Er
0.9089 0.0911 0.7500 Pr
0.0911 0.9089 0.2500 Pr
```

Computed properties:
- M_tot: 0.00 μB/cell
- Crystal system: monoclinic
- E_tot: -4.552 eV/atom
- DOS(E_F): 19.7 states/eV per cell
- Offset from the most stable computed form: 51.9 meV per atom

***

Entry from Alexandria via LeMat-Bulk: TbPr4Er3 after structural relaxation (PBE).

POSCAR file:
```
TbPr4Er3
1.0
-5.7399 1.4190 -2.2214
-3.0660 -3.6804 5.5712
-0.0678 9.7281 6.3892
Tb Pr Er
2 8 6
direct
0.1496 0.3782 0.0000 Tb
0.6496 0.6218 0.5000 Tb
0.4834 0.8717 0.7529 Pr
0.6493 0.1306 0.0000 Pr
0.1493 0.8694 0.5000 Pr
0.9834 0.1283 0.7471 Pr
0.4834 0.8717 0.2471 Pr
0.9834 0.1283 0.2529 Pr
0.1406 0.8708 0.0000 Pr
0.6406 0.1292 0.5000 Pr
0.4809 0.3807 0.7496 Er
0.4809 0.3807 0.2504 Er
0.9809 0.6193 0.7504 Er
0.9809 0.6193 0.2496 Er
0.6471 0.6180 0.0000 Er
0.1471 0.3820 0.5000 Er
```

Computed properties:
- M_tot: 0.01 μB/cell
- Crystal system: orthorhombic
- E_tot: -4.648 eV/atom
- DOS(E_F): 29.0 states/eV per cell
- Offset from the most stable computed form: 2.0 meV per atom

***

Entry from Alexandria via LeMat-Bulk: Tb4Pr5Er after structural relaxation (PBE).

POSCAR file:
```
Tb4Pr5Er
1.0
-0.4594 -3.5924 -0.1141
9.7954 -1.1316 -3.8069
4.3556 1.0090 8.2330
Er Tb Pr
1 4 5
direct
0.5000 0.0000 0.0000 Er
0.0456 0.2359 0.0912 Tb
0.6822 0.0861 0.3645 Tb
0.9544 0.7641 0.9088 Tb
0.3178 0.9139 0.6355 Tb
0.1411 0.7716 0.2822 Pr
0.8589 0.2284 0.7178 Pr
0.5000 0.5000 0.0000 Pr
0.1901 0.4001 0.3803 Pr
0.8099 0.5999 0.6197 Pr
```

Computed properties:
- M_tot: 0.00 μB/cell
- Crystal system: monoclinic
- E_tot: -4.561 eV/atom
- DOS(E_F): 15.2 states/eV per cell
- Offset from the most stable computed form: 119.8 meV per atom

***

Entry from Alexandria via LeMat-Bulk: Tb3PrEr7 after structural relaxation (PBE).

POSCAR file:
```
Tb3PrEr7
1.0
-5.5315 5.0128 -4.7332
6.0587 -4.1196 -6.6266
-0.9180 -4.9441 2.2343
Er Pr Tb
7 1 3
direct
0.5000 0.0000 0.5000 Er
0.6499 0.2894 0.1500 Er
0.3501 0.7106 0.8500 Er
0.0729 0.1685 0.0729 Er
0.9271 0.8315 0.9271 Er
0.8233 0.6423 0.3232 Er
0.1767 0.3577 0.6768 Er
0.5000 0.5000 0.5000 Pr
0.2221 0.0048 0.7224 Tb
0.7779 0.9952 0.2776 Tb
0.0000 0.5000 0.0000 Tb
```

Computed properties:
- M_tot: 0.00 μB/cell
- Crystal system: monoclinic
- E_tot: -4.449 eV/atom
- DOS(E_F): 17.8 states/eV per cell
- Offset from the most stable computed form: 0.0 meV per atom

***

Entry from Alexandria via LeMat-Bulk: Tb5Pr2Er6 after structural relaxation (PBE).

POSCAR file:
```
Tb5Pr2Er6
1.0
3.5724 0.0000 0.0000
0.0000 11.6851 0.0000
0.0000 0.0000 20.2262
Tb Er Pr
10 12 4
direct
0.5000 0.5923 0.2794 Tb
0.5000 0.5000 0.0000 Tb
0.5000 0.2004 0.9482 Tb
0.5000 0.0923 0.2206 Tb
0.5000 0.7004 0.5518 Tb
0.5000 0.2996 0.4482 Tb
0.5000 0.4077 0.7206 Tb
0.5000 0.7996 0.0518 Tb
0.5000 0.9077 0.7794 Tb
0.5000 0.0000 0.5000 Tb
0.5000 0.1805 0.6253 Er
0.5000 0.3195 0.1253 Er
0.0000 0.0770 0.3647 Er
0.0000 0.9403 0.9231 Er
0.0000 0.0597 0.0769 Er
0.5000 0.8195 0.3747 Er
0.0000 0.4403 0.5769 Er
0.0000 0.5770 0.1353 Er
0.0000 0.4230 0.8647 Er
0.5000 0.6805 0.8747 Er
0.0000 0.9230 0.6353 Er
0.0000 0.5597 0.4231 Er
0.0000 0.1683 0.7822 Pr
0.0000 0.6683 0.7178 Pr
0.0000 0.8317 0.2178 Pr
0.0000 0.3317 0.2822 Pr
```

Computed properties:
- M_tot: 0.00 μB/cell
- Crystal system: orthorhombic
- E_tot: -4.522 eV/atom
- DOS(E_F): 34.4 states/eV per cell

***

Entry from Alexandria via LeMat-Bulk: TbPrEr14 after structural relaxation (PBE).

POSCAR file:
```
TbPrEr14
1.0
7.0260 -0.8466 0.0000
-2.7728 6.5110 0.0000
0.0000 0.0000 11.3802
Er Pr Tb
14 1 1
direct
0.8753 0.6257 0.7531 Er
0.5415 0.4585 0.0000 Er
0.7081 0.7918 0.5000 Er
0.3752 0.6248 0.7508 Er
0.3743 0.1247 0.2469 Er
0.8753 0.6257 0.2469 Er
0.2082 0.2919 0.5000 Er
0.3743 0.1247 0.7531 Er
0.0417 0.9583 0.0000 Er
0.5418 0.9578 0.0000 Er
0.0422 0.4582 0.0000 Er
0.8754 0.1246 0.2476 Er
0.8754 0.1246 0.7524 Er
0.3752 0.6248 0.2492 Er
0.7079 0.2921 0.5000 Pr
0.2082 0.7918 0.5000 Tb
```

Computed properties:
- M_tot: 0.00 μB/cell
- Crystal system: orthorhombic
- E_tot: -4.571 eV/atom
- DOS(E_F): 21.1 states/eV per cell

***

Entry from Alexandria via LeMat-Bulk: Tb6PrEr4 after structural relaxation (PBE).

POSCAR file:
```
Tb6PrEr4
1.0
5.2548 0.0000 0.0000
0.0000 9.0902 0.0000
0.0000 -4.5451 7.8724
Tb Er Pr
6 4 1
direct
0.5000 0.2058 0.4117 Tb
0.5000 0.2058 0.7942 Tb
0.0000 0.5347 0.0694 Tb
0.5000 0.5883 0.7942 Tb
0.0000 0.9306 0.4653 Tb
0.0000 0.5347 0.4653 Tb
0.5000 0.7954 0.2046 Er
0.5000 0.7954 0.5907 Er
0.0000 0.3333 0.6667 Er
0.5000 0.4093 0.2046 Er
0.0000 0.0000 0.0000 Pr
```

Computed properties:
- M_tot: 1.31 μB/cell
- Crystal system: hexagonal
- E_tot: -4.278 eV/atom
- DOS(E_F): 18.7 states/eV per cell
- Offset from the most stable computed form: 217.3 meV per atom

***

Entry from Alexandria via LeMat-Bulk: Tb6PrEr after structural relaxation (PBE).

POSCAR file:
```
Tb6PrEr
1.0
5.0549 0.0000 0.0000
0.0000 5.0549 0.0000
0.0000 0.0000 10.1009
Tb Er Pr
6 1 1
direct
0.0000 0.5000 0.7465 Tb
0.5000 0.0000 0.2535 Tb
0.5000 0.5000 0.0000 Tb
0.5000 0.0000 0.7465 Tb
0.0000 0.5000 0.2535 Tb
0.5000 0.5000 0.5000 Tb
0.0000 0.0000 0.5000 Er
0.0000 0.0000 0.0000 Pr
```

Computed properties:
- M_tot: 0.00 μB/cell
- Crystal system: tetragonal
- E_tot: -4.618 eV/atom
- DOS(E_F): 12.7 states/eV per cell
- Offset from the most stable computed form: 0.0 meV per atom